(1)
{
  "formula": "Sm2USe5",
  "functional": "PBE",
  "state": "optimized geometry",
  "e_form_raw_ev_per_atom": -1.540,
  "total_energy_ev_per_atom": -6.3091,
  "m_tot_mub_per_cell": 4.00,
  "cell": [[-4.754, -3.077, 0.518], [4.125, -0.062, 6.276], [-6.746, 11.188, 4.545]],
  "species": ["Sm", "Sm", "Sm", "Sm", "U", "U", "Se", "Se", "Se", "Se", "Se", "Se", "Se", "Se", "Se", "Se"],
  "fractional_positions": [[0.853, 0.707, 0.441], [0.853, 0.707, 0.059], [0.147, 0.293, 0.559], [0.147, 0.293, 0.941], [0.800, 0.601, 0.750], [0.200, 0.399, 0.250], [0.952, 0.905, 0.877], [0.952, 0.905, 0.623], [0.316, 0.631, 0.424], [0.316, 0.631, 0.076], [0.744, 0.487, 0.250], [0.256, 0.513, 0.750], [0.684, 0.369, 0.576], [0.684, 0.369, 0.924], [0.048, 0.095, 0.123], [0.048, 0.095, 0.377]]
}



(2)
{
  "formula": "GeS2ClF",
  "functional": "PBE",
  "state": "optimized geometry",
  "e_form_raw_ev_per_atom": 0.345,
  "total_energy_ev_per_atom": -2.9731,
  "m_tot_mub_per_cell": 0.00,
  "cell": [[-1.314, -3.526, -1.784], [3.617, -0.317, -2.039], [2.124, -2.930, 4.224]],
  "species": ["Ge", "F", "S", "S", "Cl"],
  "fractional_positions": [[0.500, 0.500, 0.500], [0.000, 0.000, 0.000], [0.000, 0.500, 0.000], [0.500, 0.000, 0.000], [0.000, 0.000, 0.500]]
}



(3)
{
  "formula": "NaLaMgO2",
  "functional": "PBE",
  "state": "optimized geometry",
  "e_form_raw_ev_per_atom": -1.028,
  "total_energy_ev_per_atom": -4.5791,
  "m_tot_mub_per_cell": 0.00,
  "cell": [[4.489, 0.000, 0.000], [0.000, 6.642, 0.000], [0.000, 0.000, 4.489]],
  "species": ["Na", "Mg", "O", "O", "La"],
  "fractional_positions": [[0.000, 0.500, 0.000], [0.500, 0.500, 0.500], [0.000, 0.000, 0.500], [0.500, 0.000, 0.000], [0.000, 0.000, 0.000]]
}



(4)
{
  "formula": "Li2CaTe",
  "functional": "PBE",
  "state": "optimized geometry",
  "e_form_raw_ev_per_atom": -0.550,
  "total_energy_ev_per_atom": -2.7927,
  "m_tot_mub_per_cell": 0.00,
  "cell": [[6.564, 0.001, 0.001], [3.557, 5.516, -0.001], [-4.734, -3.358, 3.066]],
  "species": ["Ca", "Li", "Li", "Te"],
  "fractional_positions": [[0.250, 0.750, 0.500], [0.957, 0.957, 0.000], [0.543, 0.543, 0.000], [0.750, 0.250, 0.500]]
}